Below is Cr2Os2Pd after structural relaxation, with properties calculated at the PBE-GGA level.

Results
As for the space-group type: P4/mbm. The value obtained for the energy relative to the lowest polymorph listed for this composition is 0.003 eV/atom. Its raw total energy is -9.200 eV per atom. For the energy of formation, the calculation gives 0.179 eV/atom.

Cell: 7.163 7.163 2.730 Å, 90.00 90.00 90.00°
Fractional positions:
1 Cr 0.364 0.864 0.000
2 Cr 0.864 0.636 0.000
3 Cr 0.136 0.364 0.000
4 Os 0.657 0.843 0.500
5 Pd 0.500 0.500 0.000
6 Pd 0.000 0.000 0.000
7 Os 0.157 0.657 0.500
8 Cr 0.636 0.136 0.000
9 Os 0.843 0.343 0.500
10 Os 0.343 0.157 0.500